No. 1
Below is SrAg2W at its PBEsol-relaxed geometry, with properties calculated at the meta-GGA SCAN level.

As for the formation energy: 0.85 eV/atom. The value obtained for the uncorrected energy is -37.823 eV per atom.

The structure belongs to space group Pmm2 (No. 25); the cell edges are 2.861, 4.133 and 6.903 Å and the angles 90.00°, 90.00° and 90.00°. The asymmetric unit holds Sr at (0.000, 0.000, 0.000), Ag at (0.000, 0.000, 0.493), Ag at (0.500, 0.500, 0.711) and W at (0.500, 0.500, 0.315).

***

No. 2
Below is Sr2AgW at its PBEsol-relaxed geometry, with properties calculated at the meta-GGA SCAN level.

As for the formation energy: 0.98 eV/atom. The value obtained for the uncorrected energy is -35.419 eV per atom.

The structure belongs to space group Pmm2 (No. 25); the cell edges are 3.064, 5.441 and 5.873 Å and the angles 90.00°, 90.00° and 90.00°. The asymmetric unit holds Sr at (0.000, 0.000, 0.000), Sr at (0.000, 0.500, 0.378), Ag at (0.500, 0.000, 0.541) and W at (0.500, 0.500, 0.855).

***

No. 3
Below is SrAg2W at its PBEsol-relaxed geometry, with properties calculated at the meta-GGA SCAN level.

As for the formation energy: 0.78 eV/atom. The value obtained for the uncorrected energy is -37.895 eV per atom.

The structure belongs to space group Pm (No. 6); the cell edges are 2.820, 4.810 and 5.997 Å and the angles 90.00°, 103.50° and 90.00°. The asymmetric unit holds Sr at (0.000, 0.000, 0.000), Ag at (0.251, 0.000, 0.497), Ag at (0.386, 0.500, 0.773) and W at (0.677, 0.500, 0.351).

***

No. 4
Below is SrAg2W at its PBEsol-relaxed geometry, with properties calculated at the meta-GGA SCAN level.

As for the formation energy: 0.95 eV/atom. The value obtained for the uncorrected energy is -37.721 eV per atom.

The structure belongs to space group R-3m (No. 166, hexagonal axes); the cell edges are 2.9387, 2.9387 and 30.6002 Å and the angles 90.00°, 90.00° and 120.00°. The asymmetric unit holds Sr at (0.0000, 0.0000, 0.0000), Ag at (0.0000, 0.0000, 0.2422) and W at (0.0000, 0.0000, 0.5000).

***

No. 5
Below is SrY2Ag at its PBEsol-relaxed geometry, with properties calculated at the meta-GGA SCAN level.

As for the formation energy: 0.08 eV/atom. The value obtained for the uncorrected energy is -27.251 eV per atom.

The structure belongs to space group R-3m (No. 166, hexagonal axes); the cell edges are 3.7469, 3.7469 and 31.7598 Å and the angles 90.00°, 90.00° and 120.00°. The asymmetric unit holds Sr at (0.0000, 0.0000, 0.0000), Y at (0.0000, 0.0000, 0.2309) and Ag at (0.0000, 0.0000, 0.5000).

***

No. 6
Below is SrY2Ag at its PBEsol-relaxed geometry, with properties calculated at the meta-GGA SCAN level.

As for the formation energy: -0.11 eV/atom. The value obtained for the uncorrected energy is -27.442 eV per atom.

The structure belongs to space group P4mm (No. 99); the cell edges are 3.665, 3.665 and 9.033 Å and the angles 90.00°, 90.00° and 90.00°. The asymmetric unit holds Sr at (0.000, 0.000, 0.000), Y at (0.000, 0.000, 0.588), Y at (0.500, 0.500, 0.331) and Ag at (0.500, 0.500, 0.764).

***

No. 7
Below is SrYAg at its PBEsol-relaxed geometry, with properties calculated at the meta-GGA SCAN level.

As for the formation energy: -0.17 eV/atom. The value obtained for the uncorrected energy is -27.335 eV per atom.

The structure belongs to space group I4mm (No. 107); the cell edges are 3.698, 3.698 and 13.310 Å and the angles 90.00°, 90.00° and 90.00°. The asymmetric unit holds Sr at (0.000, 0.000, 0.000), Y at (0.000, 0.000, 0.727) and Ag at (0.000, 0.000, 0.338).

***

No. 8
Below is SrY2Ag at its PBEsol-relaxed geometry, with properties calculated at the meta-GGA SCAN level.

As for the formation energy: 0.13 eV/atom. The value obtained for the uncorrected energy is -27.198 eV per atom.

The structure belongs to space group P4/mmm (No. 123); the cell edges are 4.671, 4.671 and 5.339 Å and the angles 90.00°, 90.00° and 90.00°. The asymmetric unit holds Sr at (0.000, 0.000, 0.000), Y at (0.000, 0.500, 0.500) and Ag at (0.500, 0.500, 0.000).